# 1
A plane-wave DFT calculation with PBE was carried out for an optimized crystal structure of ScCo2NiAg.

Geometry as POSCAR:
```
ScCo2NiAg
1.0
4.389 0.000 0.000
0.000 4.389 0.000
0.000 0.000 4.456
Sc Co Ni Ag
1 2 1 1
Direct
0.000 0.000 0.000 Sc
0.000 0.500 0.000 Co
0.500 0.000 0.000 Co
0.000 0.000 0.500 Ni
0.500 0.500 0.500 Ag
```

Space-group type ... P4/mmm
Total moment ... 1.8 μB per cell
Formation energy ... 27.20 kcal/mol of atoms

# 2
A plane-wave DFT calculation with PBE was carried out for an optimized crystal structure of ScCrS2.

Geometry as POSCAR:
```
ScCrS2
1.0
0.000 3.066 3.066
3.066 0.000 3.066
3.066 3.066 0.000
Sc Cr S
1 1 2
Direct
0.000 0.000 0.000 Sc
0.500 0.500 0.500 Cr
0.250 0.250 0.250 S
0.750 0.750 0.750 S
```

Space-group type ... Fm-3m
Total moment ... 0.0 μB per cell
Formation energy without anion corrections ... -2.69 eV/f.u.

# 3
A plane-wave DFT calculation with PBE was carried out for an optimized crystal structure of BaLiGePt2.

Geometry as POSCAR:
```
BaLiGePt2
1.0
-2.223 2.223 5.350
2.223 -2.223 5.350
2.223 2.223 -5.350
Ba Li Ge Pt
1 1 1 2
Direct
0.000 0.000 0.000 Ba
0.750 0.250 0.500 Li
0.250 0.750 0.500 Ge
0.369 0.369 0.000 Pt
0.631 0.631 0.000 Pt
```

Space-group type ... I-4m2
Total moment ... 0.0 μB per cell
Formation energy ... -17.06 kcal/mol of atoms

Per-record electronic total energy, eV per atom: -4.66; -6.72; -4.85